# 1
This record from the Alexandria database describes a geometry-optimized PmDyEr2Tm structure. The functional is PBE-GGA.

Cell lengths 7.169, 8.337, 7.052 Å; angles 126.24, 90.00, 90.00 degrees
Positions (direct):
Dy: 0.250 0.000 0.000
Er: 0.500 0.311 0.000
Tm: 0.250 0.280 0.559
Er: 0.000 0.311 0.000
Pm: 0.750 0.272 0.545
Tm: 0.750 0.720 0.441
Dy: 0.750 0.000 0.000
Er: 0.000 0.689 0.000
Er: 0.500 0.689 0.000
Pm: 0.250 0.728 0.455

Summary:
The value obtained for the total magnetization is 0.0 Bohr magnetons per cell. The calculation puts the density of states at the Fermi level at 14.08 states/eV per cell. The calculation puts the formation energy from the elements at 0.39 eV/atom. For the total energy, the calculation gives -4.20 eV per atom.

=====

# 2
This record from the Alexandria database describes a geometry-optimized PmDy5Er2Tm structure. The functional is PBE-GGA.

Cell lengths 5.567, 10.299, 10.570 Å; angles 90.00, 90.00, 105.68 degrees
Positions (direct):
Tm: 0.413 0.826 0.456
Pm: 0.799 0.599 0.511
Dy: 0.300 0.601 0.707
Dy: 0.282 0.564 0.306
Er: 0.886 0.773 0.818
Dy: 0.718 0.436 0.806
Er: 0.891 0.783 0.238
Dy: 0.393 0.786 0.024
Dy: 0.700 0.399 0.207
Dy: 0.479 0.958 0.739
Dy: 0.017 0.035 0.025
Tm: 0.587 0.174 0.956
Er: 0.109 0.217 0.738
Er: 0.114 0.227 0.318
Dy: 0.983 0.965 0.525
Dy: 0.521 0.042 0.239
Dy: 0.607 0.214 0.524
Pm: 0.201 0.401 0.011

Summary:
The value obtained for the total magnetization is 0.0 Bohr magnetons per cell. The calculation puts the density of states at the Fermi level at 28.05 states/eV per cell. The calculation puts the formation energy from the elements at 0.15 eV/atom. For the total energy, the calculation gives -4.44 eV per atom.

=====

# 3
This record from the Alexandria database describes a geometry-optimized Pm2DyEr6Tm structure. The functional is PBE-GGA.

Cell lengths 9.590, 8.705, 8.705 Å; angles 118.11, 94.51, 94.51 degrees
Positions (direct):
Pm: 0.957 0.701 0.805
Tm: 0.750 0.593 0.407
Er: 0.187 0.574 0.021
Er: 0.813 0.426 0.979
Er: 0.943 0.874 0.255
Er: 0.881 0.292 0.503
Dy: 0.250 0.981 0.019
Dy: 0.750 0.019 0.981
Er: 0.557 0.745 0.126
Er: 0.443 0.255 0.874
Pm: 0.457 0.805 0.701
Er: 0.381 0.503 0.292
Tm: 0.250 0.407 0.593
Er: 0.119 0.708 0.497
Pm: 0.543 0.195 0.299
Er: 0.313 0.979 0.426
Er: 0.687 0.021 0.574
Er: 0.057 0.126 0.745
Er: 0.619 0.497 0.708
Pm: 0.043 0.299 0.195

Summary:
The value obtained for the total magnetization is 0.0 Bohr magnetons per cell. The calculation puts the density of states at the Fermi level at 26.16 states/eV per cell. The calculation puts the formation energy from the elements at 0.12 eV/atom. For the total energy, the calculation gives -4.48 eV per atom.

=====

# 4
This record from the Alexandria database describes a geometry-optimized PmDy2Er2Tm structure. The functional is PBE-GGA.

Cell lengths 5.580, 9.703, 6.914 Å; angles 90.00, 90.00, 90.00 degrees
Positions (direct):
Dy: 0.000 0.666 0.752
Dy: 0.000 0.334 0.248
Er: 0.500 0.167 0.251
Er: 0.000 0.333 0.751
Er: 0.000 0.667 0.249
Dy: 0.500 0.834 0.252
Dy: 0.500 0.166 0.748
Tm: 0.000 0.000 0.500
Pm: 0.000 0.000 0.000
Tm: 0.500 0.500 0.000
Pm: 0.500 0.500 0.500
Er: 0.500 0.833 0.749

Summary:
The value obtained for the total magnetization is 0.0 Bohr magnetons per cell. The calculation puts the density of states at the Fermi level at 19.59 states/eV per cell. The calculation puts the formation energy from the elements at 0.07 eV/atom. For the total energy, the calculation gives -4.52 eV per atom.

=====

# 5
This record from the Alexandria database describes a geometry-optimized Pm4Dy2Er2Tm structure. The functional is PBE-GGA.

Cell lengths 5.056, 8.005, 7.990 Å; angles 107.51, 90.00, 108.41 degrees
Positions (direct):
Dy: 0.111 0.223 0.670
Tm: 0.000 0.000 0.000
Er: 0.667 0.334 0.000
Pm: 0.778 0.555 0.668
Er: 0.333 0.666 0.000
Pm: 0.222 0.445 0.332
Pm: 0.446 0.891 0.669
Pm: 0.554 0.109 0.331
Dy: 0.889 0.777 0.330

Summary:
The value obtained for the total magnetization is 0.0 Bohr magnetons per cell. The calculation puts the density of states at the Fermi level at 13.37 states/eV per cell. The calculation puts the formation energy from the elements at 0.02 eV/atom. For the total energy, the calculation gives -4.62 eV per atom.

=====

# 6
This record from the Alexandria database describes a geometry-optimized Pm2Dy5ErTm structure. The functional is PBE-GGA.

Cell lengths 8.537, 8.537, 9.965 Å; angles 115.36, 115.36, 90.00 degrees
Positions (direct):
Dy: 0.427 0.355 0.283
Dy: 0.573 0.645 0.717
Pm: 0.618 0.118 0.000
Dy: 0.000 0.000 0.000
Pm: 0.118 0.382 0.000
Pm: 0.882 0.618 0.000
Er: 0.750 0.750 0.500
Er: 0.250 0.250 0.500
Dy: 0.855 0.927 0.283
Tm: 0.750 0.250 0.500
Pm: 0.382 0.882 0.000
Dy: 0.500 0.500 0.000
Dy: 0.355 0.855 0.283
Dy: 0.073 0.573 0.717
Dy: 0.927 0.427 0.283
Dy: 0.145 0.073 0.717
Tm: 0.250 0.750 0.500
Dy: 0.645 0.145 0.717

Summary:
The value obtained for the total magnetization is 0.0 Bohr magnetons per cell. The calculation puts the density of states at the Fermi level at 24.85 states/eV per cell. The calculation puts the formation energy from the elements at 0.28 eV/atom. For the total energy, the calculation gives -4.33 eV per atom.

=====

# 7
This record from the Alexandria database describes a geometry-optimized PmDy6Er2Tm3 structure. The functional is PBE-GGA.

Cell lengths 6.111, 6.111, 11.697 Å; angles 94.98, 94.98, 119.95 degrees
Positions (direct):
Er: 0.333 0.667 0.000
Er: 0.667 0.333 0.000
Dy: 0.249 0.249 0.748
Pm: 0.000 0.000 0.000
Dy: 0.915 0.581 0.748
Dy: 0.581 0.915 0.748
Tm: 0.167 0.833 0.500
Tm: 0.833 0.167 0.500
Dy: 0.419 0.085 0.252
Dy: 0.085 0.419 0.252
Dy: 0.751 0.751 0.252
Tm: 0.500 0.500 0.500

Summary:
The value obtained for the total magnetization is 0.0 Bohr magnetons per cell. The calculation puts the density of states at the Fermi level at 15.83 states/eV per cell. The calculation puts the formation energy from the elements at 0.02 eV/atom. For the total energy, the calculation gives -4.56 eV per atom.

=====

# 8
This record from the Alexandria database describes a geometry-optimized PmDyEr3Tm structure. The functional is PBE-GGA.

Cell lengths 5.358, 11.357, 6.737 Å; angles 82.09, 90.00, 103.64 degrees
Positions (direct):
Tm: 0.927 0.855 0.652
Er: 0.774 0.548 0.815
Er: 0.170 0.341 0.725
Er: 0.226 0.452 0.185
Dy: 0.333 0.666 0.532
Pm: 0.370 0.740 0.975
Er: 0.475 0.951 0.276
Er: 0.830 0.659 0.275
Er: 0.525 0.049 0.724
Tm: 0.073 0.145 0.348
Pm: 0.630 0.260 0.025
Dy: 0.667 0.334 0.468

Summary:
The value obtained for the total magnetization is 0.0 Bohr magnetons per cell. The calculation puts the density of states at the Fermi level at 20.96 states/eV per cell. The calculation puts the formation energy from the elements at 0.21 eV/atom. For the total energy, the calculation gives -4.37 eV per atom.